# 1
VASP calculation (SCAN) on a PBEsol-optimized structure of KScAl2.

Values from the calculation:
Density ... 2.27 Mg/m³
Energy relative to the lowest polymorph listed for this composition ... 0 meV/atom
Formation enthalpy at 0 K ... -0.043 eV per atom
Energy ... -9.56 eV per atom

The structure in CIF format:
```
data_KScAl2
_chemical_formula_sum 'K1 Sc1 Al2'
_space_group_name_H-M_alt 'P 1 2/m 1'
_space_group_IT_number 10
_space_group_name_Hall '-P 2y'
_cell_length_a 3.106
_cell_length_b 4.240
_cell_length_c 7.656
_cell_angle_alpha 90.00
_cell_angle_beta 90.08
_cell_angle_gamma 90.00
loop_
_atom_site_label
_atom_site_type_symbol
_atom_site_fract_x
_atom_site_fract_y
_atom_site_fract_z
_atom_site_occupancy
K1 K 0.000 0.000 0.000 1
Sc1 Sc 0.000 0.000 0.500 1
Al1 Al 0.500 0.500 0.326 1
```

=====

# 2
VASP calculation (SCAN) on a PBEsol-optimized structure of MnNiP3.

Values from the calculation:
Density ... 4.19 Mg/m³
Formation enthalpy at 0 K ... 0.583 eV per atom
Energy ... -12.54 eV per atom

The structure in CIF format:
```
data_MnNiP3
_chemical_formula_sum 'Mn1 Ni1 P3'
_space_group_name_H-M_alt 'P m -3 m'
_space_group_IT_number 221
_space_group_name_Hall '-P 4 2 3'
_cell_length_a 4.341
_cell_length_b 4.341
_cell_length_c 4.341
_cell_angle_alpha 90.00
_cell_angle_beta 90.00
_cell_angle_gamma 90.00
loop_
_atom_site_label
_atom_site_type_symbol
_atom_site_fract_x
_atom_site_fract_y
_atom_site_fract_z
_atom_site_occupancy
Mn1 Mn 0.000 0.000 0.000 1
Ni1 Ni 0.500 0.500 0.500 1
P1 P 0.000 0.500 0.500 1
```

=====

# 3
VASP calculation (SCAN) on a PBEsol-optimized structure of CrGe3Pt.

Values from the calculation:
Density ... 8.28 Mg/m³
Formation enthalpy at 0 K ... 0.599 eV per atom
Energy ... -28.57 eV per atom

The structure in CIF format:
```
data_CrGe3Pt
_chemical_formula_sum 'Cr1 Ge3 Pt1'
_space_group_name_H-M_alt 'P m -3 m'
_space_group_IT_number 221
_space_group_name_Hall '-P 4 2 3'
_cell_length_a 4.534
_cell_length_b 4.534
_cell_length_c 4.534
_cell_angle_alpha 90.00
_cell_angle_beta 90.00
_cell_angle_gamma 90.00
loop_
_atom_site_label
_atom_site_type_symbol
_atom_site_fract_x
_atom_site_fract_y
_atom_site_fract_z
_atom_site_occupancy
Cr1 Cr 0.000 0.000 0.000 1
Ge1 Ge 0.000 0.000 0.500 1
Pt1 Pt 0.500 0.500 0.500 1
```